! Ta3TeIr | Alexandria | PBE | relaxed; values from VASP
! * space-group type: Pm-3m, No. 221
! * energy relative to the elements, uncorrected: 943 meV per atom
! * crystal system: cubic
! * size of the total moment: 0.00 μB/cell
! * excess energy over the best structure of this formula in the dataset: 0.000 eV per atom
&SYSTEM
  ibrav = 0, nat = 5, ntyp = 3
/
ATOMIC_SPECIES
Ta 180.95 Ta.upf
Te 127.60 Te.upf
Ir 192.22 Ir.upf
ATOMIC_POSITIONS crystal
Ta 0.000 0.000 0.500
Ta 0.000 0.500 0.000
Ta 0.500 0.000 0.000
Te 0.500 0.500 0.500
Ir 0.000 0.000 0.000
CELL_PARAMETERS angstrom
4.904 0.000 0.000
0.000 4.904 0.000
0.000 0.000 4.904